Record 1
Computed, not measured: a relaxed NbZn crystal at the GGA-PBE level of DFT. Values from VASP.

```
&SYSTEM
  ibrav = 0, nat = 16, ntyp = 2
/
ATOMIC_SPECIES
Nb 92.91 Nb.upf
Zn 65.41 Zn.upf
ATOMIC_POSITIONS crystal
Nb 0.9188 0.0000 0.0000
Nb 0.9187 0.5000 0.0000
Nb 0.4173 0.6287 0.0000
Nb 0.4174 0.8712 0.0000
Nb 0.4146 0.0000 0.5000
Nb 0.9159 0.1288 0.5000
Nb 0.9159 0.3713 0.5000
Nb 0.4146 0.5000 0.5000
Zn 0.4204 0.1265 0.0000
Zn 0.9218 0.2500 0.0000
Zn 0.4204 0.3735 0.0000
Zn 0.9179 0.7500 0.0000
Zn 0.4154 0.2500 0.5000
Zn 0.9129 0.6265 0.5000
Zn 0.4116 0.7500 0.5000
Zn 0.9129 0.8735 0.5000
CELL_PARAMETERS angstrom
-0.1784 -1.6804 4.3057
-3.6537 -10.9524 -4.4260
4.4157 -1.3363 -0.3385
```

Results
The energy is -89.776 eV/cell. The calculation puts the formation energy at 68 meV per atom.



Record 2
Computed, not measured: a relaxed NbZn crystal at the GGA-PBE level of DFT. Values from VASP.

```
&SYSTEM
  ibrav = 0, nat = 8, ntyp = 2
/
ATOMIC_SPECIES
Nb 92.91 Nb.upf
Zn 65.41 Zn.upf
ATOMIC_POSITIONS crystal
Nb 0.9769 0.5062 0.0000
Nb 0.4769 0.7438 0.0000
Nb 0.3564 0.5062 0.5000
Nb 0.8564 0.7438 0.5000
Zn 0.9901 0.0082 0.0000
Zn 0.4901 0.2418 0.0000
Zn 0.3432 0.0082 0.5000
Zn 0.8432 0.2418 0.5000
CELL_PARAMETERS angstrom
-3.3244 -2.3890 2.5114
4.2068 -2.4536 3.2346
-0.2673 3.6392 3.1080
```

Results
The energy is -44.574 eV/cell. The calculation puts the formation energy at 108 meV per atom.



Record 3
Computed, not measured: a relaxed NbZn crystal at the GGA-PBE level of DFT. Values from VASP.

```
&SYSTEM
  ibrav = 0, nat = 2, ntyp = 2
/
ATOMIC_SPECIES
Nb 92.91 Nb.upf
Zn 65.41 Zn.upf
ATOMIC_POSITIONS crystal
Nb 0.0000 0.0000 0.0000
Zn 0.6667 0.3333 0.5000
CELL_PARAMETERS angstrom
-1.7871 -2.2119 -0.0049
2.2116 0.0451 -1.7870
2.7023 -2.1906 3.2890
```

Results
The energy is -11.132 eV/cell. The calculation puts the formation energy at 113 meV per atom.



Record 4
Computed, not measured: a relaxed NbZn2 crystal at the GGA-PBE level of DFT. Values from VASP.

```
&SYSTEM
  ibrav = 0, nat = 12, ntyp = 2
/
ATOMIC_SPECIES
Nb 92.91 Nb.upf
Zn 65.41 Zn.upf
ATOMIC_POSITIONS crystal
Nb 0.2760 0.0000 0.0000
Nb 0.7761 0.5000 0.0000
Nb 0.1683 0.0000 0.5000
Nb 0.6684 0.5000 0.5000
Zn 0.6043 0.0000 0.0000
Zn 0.9448 0.0000 0.0000
Zn 0.1043 0.5000 0.0000
Zn 0.4447 0.5000 0.0000
Zn 0.4997 0.0000 0.5000
Zn 0.8402 0.0000 0.5000
Zn 0.3401 0.5000 0.5000
Zn 0.9997 0.5000 0.5000
CELL_PARAMETERS angstrom
-7.1512 -2.4305 -12.3785
-1.2536 -2.2638 1.1687
-3.4513 2.6700 1.4696
```

Results
The energy is -50.628 eV/cell. The calculation puts the formation energy at -11 meV per atom.



Record 5
Computed, not measured: a relaxed NbZn crystal at the GGA-PBE level of DFT. Values from VASP.

```
&SYSTEM
  ibrav = 0, nat = 12, ntyp = 2
/
ATOMIC_SPECIES
Nb 92.91 Nb.upf
Zn 65.41 Zn.upf
ATOMIC_POSITIONS crystal
Nb 0.5400 0.2401 0.0000
Nb 0.0400 0.5932 0.0000
Nb 0.7893 0.0852 0.5000
Nb 0.2886 0.4022 0.5000
Nb 0.7886 0.4311 0.5000
Nb 0.2893 0.7482 0.5000
Zn 0.0337 0.2509 0.0000
Zn 0.5337 0.5824 0.0000
Zn 0.5607 0.9016 0.0000
Zn 0.0607 0.9317 0.0000
Zn 0.2877 0.0748 0.5000
Zn 0.7877 0.7585 0.5000
CELL_PARAMETERS angstrom
-5.3668 -1.5511 -1.0244
2.7641 -6.2923 -4.9533
0.1048 -2.4929 3.2253
```

Results
The energy is -68.443 eV/cell. The calculation puts the formation energy at -24 meV per atom.



Record 6
Computed, not measured: a relaxed Nb3Zn4 crystal at the GGA-PBE level of DFT. Values from VASP.

```
&SYSTEM
  ibrav = 0, nat = 14, ntyp = 2
/
ATOMIC_SPECIES
Nb 92.91 Nb.upf
Zn 65.41 Zn.upf
ATOMIC_POSITIONS crystal
Nb 0.1294 0.2887 0.0000
Nb 0.2962 0.5579 0.0000
Nb 0.8601 0.7248 0.0000
Nb 0.3944 0.0923 0.5000
Nb 0.6637 0.6561 0.5000
Nb 0.2276 0.8230 0.5000
Zn 0.9966 0.0043 0.0000
Zn 0.5758 0.1419 0.0000
Zn 0.7134 0.4251 0.0000
Zn 0.4286 0.8571 0.0000
Zn 0.9480 0.2390 0.5000
Zn 0.5272 0.3766 0.5000
Zn 0.0952 0.5238 0.5000
Zn 0.8104 0.9558 0.5000
CELL_PARAMETERS angstrom
4.9169 5.6777 0.0000
-2.4582 7.0969 0.0000
0.0000 0.0000 4.6090
```

Results
The value obtained for the distance to the lowest polymorph of the same formula is 0.0000 eV/atom. The energy is -71.058 eV/cell. The calculation puts the formation energy at -27 meV per atom.



Record 7
Computed, not measured: a relaxed Nb3Zn4 crystal at the GGA-PBE level of DFT. Values from VASP.

```
&SYSTEM
  ibrav = 0, nat = 14, ntyp = 2
/
ATOMIC_SPECIES
Nb 92.91 Nb.upf
Zn 65.41 Zn.upf
ATOMIC_POSITIONS crystal
Nb 0.7190 0.3907 0.0000
Nb 0.3029 0.5145 0.0000
Nb 0.4346 0.8148 0.0000
Nb 0.5176 0.4233 0.5000
Nb 0.6495 0.7236 0.5000
Nb 0.2334 0.8472 0.5000
Zn 0.5994 0.0812 0.0000
Zn 0.1335 0.2447 0.0000
Zn 0.8804 0.6722 0.0000
Zn 0.0105 0.9615 0.0000
Zn 0.3530 0.1568 0.5000
Zn 0.9419 0.2766 0.5000
Zn 0.0719 0.5659 0.5000
Zn 0.8189 0.9935 0.5000
CELL_PARAMETERS angstrom
-8.0010 0.2906 1.9969
-4.7718 -2.5609 -4.5140
0.3369 -4.0439 1.9381
```

Results
The value obtained for the distance to the lowest polymorph of the same formula is 0.0497 eV/atom. The energy is -70.362 eV/cell. The calculation puts the formation energy at 23 meV per atom.



Record 8
Computed, not measured: a relaxed ZrNbZn crystal at the GGA-PBE level of DFT. Values from VASP.

```
&SYSTEM
  ibrav = 0, nat = 3, ntyp = 3
/
ATOMIC_SPECIES
Nb 92.91 Nb.upf
Zn 65.41 Zn.upf
Zr 91.22 Zr.upf
ATOMIC_POSITIONS crystal
Nb 0.0000 0.0000 0.0000
Zn 0.2500 0.2500 0.2500
Zr 0.7500 0.7500 0.7500
CELL_PARAMETERS angstrom
2.2922 1.3234 3.7432
-2.2922 1.3234 3.7432
0.0000 -2.6468 3.7432
```

Results
The energy is -17.224 eV/cell. The calculation puts the formation energy at 894 meV per atom.